Entry one
The following is a PBE calculation of a relaxed SrNbIr crystal, from OQMD via LeMat-Bulk.

Summary:
theoretical density = 8.4 g cm⁻³

Cell lengths 6.6465, 6.6465, 6.6465 Å; angles 90.00, 90.00, 90.00 degrees
With the nearest neighbours (Å) after each atom.
Space group F-43m (No. 216)
One atom of each set of equivalent atoms:
Sr: 0.0000 0.0000 0.0000 [4 per cell]  4 Ir 2.88
Nb: 0.0000 0.0000 0.5000 [4 per cell]  4 Ir 2.88
Ir: 0.2500 0.2500 0.7500 [4 per cell]  4 Nb 2.88, 4 Sr 2.88

Entry two
The following is a PBE calculation of a relaxed SrNbIr crystal, from OQMD via LeMat-Bulk.

Summary:
theoretical density = 8.6 g cm⁻³

Cell lengths 6.5952, 6.5952, 6.5952 Å; angles 90.00, 90.00, 90.00 degrees
With the nearest neighbours (Å) after each atom.
Space group F-43m (No. 216)
One atom of each set of equivalent atoms:
Sr: 0.0000 0.0000 0.0000 [4 per cell]  4 Nb 2.86, 4 Ir 2.86
Nb: 0.2500 0.2500 0.2500 [4 per cell]  4 Sr 2.86
Ir: 0.2500 0.2500 0.7500 [4 per cell]  4 Sr 2.86

In eV/atom, relative to the most stable structure: entry one 0.000; entry two 1.277.

Entry one
The following is a PBE calculation of a relaxed TaNb2Ir crystal, from OQMD via LeMat-Bulk.

Summary:
theoretical density = 13.7 g cm⁻³

Cell lengths 6.4782, 6.4782, 6.4782 Å; angles 90.00, 90.00, 90.00 degrees
With the nearest neighbours (Å) after each atom.
Space group F-43m (No. 216)
One atom of each set of equivalent atoms:
Ta: 0.0000 0.0000 0.0000 [4 per cell]  4 Ir 2.81, 4 Nb 2.81
Nb: 0.0000 0.0000 0.5000 [4 per cell]  4 Nb 2.81, 4 Ir 2.81
Nb: 0.2500 0.2500 0.7500 [4 per cell]  4 Ta 2.81, 4 Nb 2.81
Ir: 0.2500 0.2500 0.2500 [4 per cell]  4 Ta 2.81, 4 Nb 2.81

Entry two
The following is a PBE calculation of a relaxed TaNb2Ir crystal, from OQMD via LeMat-Bulk.

Summary:
theoretical density = 13.4 g cm⁻³

Cell lengths 5.1598, 7.3254, 7.3246 Å; angles 90.00, 90.00, 90.00 degrees
With the nearest neighbours (Å) after each atom.
Space group Ama2 (No. 40)
One atom of each set of equivalent atoms:
Ta: 0.2500 0.1246 0.0000 [4 per cell]  2 Nb 2.59, 3 Ir 2.88
Nb: 0.0000 0.0000 0.6254 [4 per cell]  2 Nb 2.58, 2 Ir 2.88
Nb: 0.2500 0.3750 0.7496 [4 per cell]  2 Ta 2.59, 3 Ir 2.89
Ir: 0.2500 0.2522 0.3751 [4 per cell]  4 Ta 2.88-2.90, 8 Nb 2.88-2.91

In eV/atom, relative to the most stable structure: entry one 0.087; entry two 0.000.

Entry one
The following is a PBE calculation of a relaxed Nd2YIrO6 crystal, from OQMD via LeMat-Bulk.

Summary:
theoretical density = 8.2 g cm⁻³

Cell lengths 5.6491, 5.9242, 9.6521 Å; angles 90.00, 123.46, 90.00 degrees
With the nearest neighbours (Å) after each atom.
Space group P2_1/c (No. 14)
One atom of each set of equivalent atoms:
Nd: 0.2232 0.0663 0.2477 [4 per cell]  6 O 2.35-2.63
Y: 0.5000 0.0000 0.0000 [2 per cell]  6 O 2.21-2.24
Ir: 0.0000 0.0000 0.5000 [2 per cell]  6 O 2.08-2.09
O: 0.1211 0.2010 0.9403 [4 per cell]  1 Ir 2.09, 1 Y 2.23
O: 0.2387 0.6936 0.9395 [4 per cell]  1 Ir 2.08, 1 Y 2.21
O: 0.3661 0.0512 0.7366 [4 per cell]  1 Ir 2.09, 1 Y 2.24

Entry two
The following is a PBE calculation of a relaxed Nd2YIrO6 crystal, from OQMD via LeMat-Bulk.

Summary:
theoretical density = 8.1 g cm⁻³

Cell lengths 5.6693, 5.7229, 5.7902 Å; angles 90.25, 119.15, 118.86 degrees
With the nearest neighbours (Å) after each atom.
Space group P-1 (No. 2)
One atom of each set of equivalent atoms:
Nd: 0.0110 0.2499 0.2835 [2 per cell]  5 O 2.35-2.47
Y: 0.5000 0.5000 0.0000 [1 per cell]  6 O 2.19-2.25
Ir: 0.5000 0.0000 0.5000 [1 per cell]  6 O 2.05-2.11
O: 0.0233 0.7620 0.1380 [2 per cell]  1 Ir 2.11, 1 Y 2.25, 1 Nd 2.35
O: 0.3526 0.1616 0.6786 [2 per cell]  1 Ir 2.05, 1 Y 2.19
O: 0.3544 0.6755 0.6586 [2 per cell]  1 Ir 2.06, 1 Y 2.20

In eV/atom, relative to the most stable structure: entry one 0.000; entry two 0.045.